Entry 1:
The following is a PBE-GGA calculation of a geometry-optimized ErGe2IrRh2 structure, from Alexandria via LeMat-Bulk.

Unit cell a=4.642 b=4.642 c=5.475 alpha=90.00 beta=90.00 gamma=90.00
Positions (direct):
1 Er 0.000 0.000 0.000
2 Ge 0.000 0.500 0.500
3 Ge 0.500 0.000 0.500
4 Ir 0.000 0.000 0.500
5 Rh 0.500 0.500 0.244
6 Rh 0.500 0.500 0.756

Summary:
As for the symmetry: P4/mmm, No. 123. The calculation puts the energy of formation at -0.1537 eV per atom.

Entry 2:
The following is a PBE-GGA calculation of a geometry-optimized ErGe2IrRu structure, from Alexandria via LeMat-Bulk.

Unit cell a=5.826 b=5.826 c=5.826 alpha=137.61 beta=137.61 gamma=61.51
Positions (direct):
1 Er 0.000 0.000 0.000
2 Ge 0.375 0.375 0.000
3 Ge 0.625 0.625 0.000
4 Ir 0.750 0.250 0.500
5 Ru 0.250 0.750 0.500

Summary:
As for the symmetry: I-4m2, No. 119. The calculation puts the energy of formation at -0.7125 eV per atom.

Entry 3:
The following is a PBE-GGA calculation of a geometry-optimized Er3Si2GeIr9 structure, from Alexandria via LeMat-Bulk.

Unit cell a=5.525 b=5.525 c=11.124 alpha=90.00 beta=90.00 gamma=120.00
Positions (direct):
1 Er 0.000 0.000 0.000
2 Er 0.333 0.667 0.769
3 Er 0.667 0.333 0.231
4 Si 0.333 0.667 0.166
5 Si 0.667 0.333 0.834
6 Ge 0.000 0.000 0.500
7 Ir 0.000 0.500 0.000
8 Ir 0.166 0.331 0.325
9 Ir 0.166 0.834 0.325
10 Ir 0.331 0.166 0.675
11 Ir 0.500 0.000 0.000
12 Ir 0.500 0.500 0.000
13 Ir 0.669 0.834 0.325
14 Ir 0.834 0.166 0.675
15 Ir 0.834 0.669 0.675

Summary:
As for the symmetry: P-3m1, No. 164. The uncorrected formation energy is -0.344 eV per atom.

The records above give, respectively, density values of 10.001 11.321 13.328 Mg/m³.